[1]
BaSrSeF2 | GGA-PBE | relaxed

Summary:
ΔE to the lowest computed polymorph (meV per atom): 2253
Crystal system: tetragonal

Unit cell a=5.5473 b=5.8065 c=5.5473 alpha=90.00 beta=90.00 gamma=90.00
Atoms (fractional coordinates):
F  0.0000  0.0000  0.5000
F  0.5000  0.0000  0.0000
Sr  0.5000  0.5000  0.5000
Ba  0.0000  0.5000  0.0000
Se  0.0000  0.0000  0.0000

[2]
BaTlSeF | GGA-PBE | relaxed

Summary:
Crystal system: tetragonal

Unit cell a=4.5841 b=4.5841 c=10.6766 alpha=90.00 beta=90.00 gamma=90.00
Atoms (fractional coordinates):
Tl  0.5000  0.5000  0.5000
Tl  0.0000  0.0000  0.5000
F  0.0000  0.0000  0.0000
F  0.5000  0.5000  0.0000
Ba  0.5000  0.0000  0.1347
Ba  0.0000  0.5000  0.8653
Se  0.5000  0.0000  0.7205
Se  0.0000  0.5000  0.2795

Number 1: uncorrected formation energy -4.21 eV per formula unit, magnetization 0.0 Bohr magnetons per cell. Number 2: uncorrected formation energy -8.03 eV per formula unit, magnetization 0.0 Bohr magnetons per cell.